VASP calculation (meta-GGA SCAN) on MgMnIr2 at its PBEsol-relaxed geometry.

extended XYZ file:
```
4
Lattice="2.881 0.000 0.000 0.000 4.312 0.000 0.000 0.000 4.609" Properties=species:S:1:pos:R:3 pbc="T T T"
Ir 0.000 0.000 0.000
Ir 1.441 0.000 2.305
Mg 1.441 2.156 0.000
Mn 0.000 2.156 2.305
```

VASP calculation (meta-GGA SCAN) on MgMnIr2 at its PBEsol-relaxed geometry.

extended XYZ file:
```
4
Lattice="-1.580 0.964 -2.015 -2.132 0.087 1.713 1.789 6.861 1.880" Properties=species:S:1:pos:R:3 pbc="T T T"
Mg -1.856 0.525 -0.151
Ir 1.294 4.964 1.360
Ir 0.495 1.897 0.520
Mn -0.961 3.956 0.789
```

VASP calculation (meta-GGA SCAN) on MgMo2Ir at its PBEsol-relaxed geometry.

extended XYZ file:
```
4
Lattice="-1.292 2.167 1.713 -0.065 -2.887 3.604 4.643 1.774 -1.455" Properties=species:S:1:pos:R:3 pbc="T T T"
Ir 3.891 1.387 1.181
Mg 1.929 -0.744 2.397
Mo 0.158 0.056 0.048
Mo 1.273 1.768 1.439
```

VASP calculation (meta-GGA SCAN) on MgMo2Ir at its PBEsol-relaxed geometry.

extended XYZ file:
```
4
Lattice="-1.361 1.982 -1.306 -2.365 -1.262 0.548 -0.629 4.295 7.173" Properties=species:S:1:pos:R:3 pbc="T T T"
Ir -2.178 2.508 3.207
Mg -1.863 0.360 -0.379
Mo -0.170 1.161 1.939
Mo -0.459 3.134 5.234
```

VASP calculation (meta-GGA SCAN) on MgMoIr at its PBEsol-relaxed geometry.

extended XYZ file:
```
3
Lattice="-3.629 1.054 1.871 -0.991 -1.642 3.755 0.032 2.436 3.441" Properties=species:S:1:pos:R:3 pbc="T T T"
Ir 0.000 0.000 0.000
Mg -2.294 0.924 4.533
Mo -1.147 0.462 2.267
```

VASP calculation (meta-GGA SCAN) on MgMo2Ir at its PBEsol-relaxed geometry.

extended XYZ file:
```
4
Lattice="2.721 0.000 0.000 0.000 5.030 -0.009 0.000 -2.387 4.427" Properties=species:S:1:pos:R:3 pbc="T T T"
Ir 1.361 0.000 0.000
Mg 1.361 1.321 2.209
Mo 0.000 2.515 -0.005
Mo 0.000 -1.194 2.214
```

VASP calculation (meta-GGA SCAN) on MgTa2MoIr at its PBEsol-relaxed geometry.

extended XYZ file:
```
5
Lattice="4.350 0.000 0.000 0.000 4.575 0.000 0.000 0.000 4.575" Properties=species:S:1:pos:R:3 pbc="T T T"
Mo 2.175 0.000 0.000
Ir 2.175 2.288 2.288
Mg 0.000 0.000 0.000
Ta 0.000 0.000 2.288
Ta 0.000 2.288 0.000
```

VASP calculation (meta-GGA SCAN) on MgNb2Ir2 at its PBEsol-relaxed geometry.

extended XYZ file:
```
10
Lattice="-2.169 -1.487 1.296 4.516 -6.152 0.498 2.467 2.365 6.842" Properties=species:S:1:pos:R:3 pbc="T T T"
Nb 1.297 -0.183 5.275
Nb 3.977 -2.854 6.697
Nb 3.518 -5.091 3.361
Nb 0.837 -2.420 1.939
Ir 3.816 -0.219 6.136
Ir 5.483 -3.862 4.745
Ir 3.167 -3.569 1.204
Ir 1.500 0.074 2.595
Mg 0.000 0.000 0.000
Mg 3.492 -1.894 3.670
```

VASP calculation (meta-GGA SCAN) on MgNi2Ir at its PBEsol-relaxed geometry.

extended XYZ file:
```
4
Lattice="2.648 0.000 0.000 0.000 3.626 0.000 0.000 0.000 5.304" Properties=species:S:1:pos:R:3 pbc="T T T"
Ir 0.000 0.000 2.531
Mg 1.324 1.813 4.043
Ni 0.000 0.000 0.070
Ni 1.324 1.813 1.313
```

VASP calculation (meta-GGA SCAN) on MgNi2Ir at its PBEsol-relaxed geometry.

extended XYZ file:
```
4
Lattice="2.664 0.000 0.000 0.000 4.413 0.003 0.000 -1.227 4.239" Properties=species:S:1:pos:R:3 pbc="T T T"
Ir 1.332 0.000 0.000
Mg 1.332 1.593 2.121
Ni 0.000 2.207 0.001
Ni 0.000 -0.613 2.120
```

VASP calculation (meta-GGA SCAN) on MgNiIr2 at its PBEsol-relaxed geometry.

extended XYZ file:
```
4
Lattice="2.700 0.000 0.000 0.000 4.561 0.002 0.000 -1.374 4.349" Properties=species:S:1:pos:R:3 pbc="T T T"
Ir 0.000 2.281 0.001
Ir 0.000 -0.687 2.175
Mg 1.350 0.000 0.000
Ni 1.350 1.594 2.176
```

VASP calculation (meta-GGA SCAN) on MgNiIr2 at its PBEsol-relaxed geometry.

extended XYZ file:
```
4
Lattice="3.792 0.000 0.000 0.000 3.792 0.000 -1.896 -1.896 3.760" Properties=species:S:1:pos:R:3 pbc="T T T"
Ir 1.896 0.000 1.880
Ir 0.000 1.896 1.880
Mg 1.896 1.896 0.000
Ni 0.000 0.000 0.000
```

VASP calculation (meta-GGA SCAN) on MgNi3Ir at its PBEsol-relaxed geometry.

extended XYZ file:
```
5
Lattice="-1.417 -1.799 -3.393 3.322 -2.390 -0.120 -1.928 -2.795 2.287" Properties=species:S:1:pos:R:3 pbc="T T T"
Ni 1.661 -1.195 -0.060
Ni -0.964 -1.398 1.144
Ni -0.709 -0.900 -1.697
Mg 0.000 0.000 0.000
Ir -0.012 -3.492 -0.613
```

VASP calculation (meta-GGA SCAN) on MgNiIr3 at its PBEsol-relaxed geometry.

extended XYZ file:
```
5
Lattice="4.375 0.000 0.000 0.000 4.375 0.000 0.000 0.000 4.375" Properties=species:S:1:pos:R:3 pbc="T T T"
Ni 2.188 2.188 2.188
Mg 0.000 0.000 0.000
Ir 0.000 2.188 0.000
Ir 0.000 0.000 2.188
Ir 2.188 0.000 0.000
```

VASP calculation (meta-GGA SCAN) on MgNiIr2 at its PBEsol-relaxed geometry.

extended XYZ file:
```
4
Lattice="2.736 0.000 0.000 0.000 4.531 -0.002 -1.368 -0.834 4.393" Properties=species:S:1:pos:R:3 pbc="T T T"
Ir 0.000 4.431 0.014
Ir 0.000 3.130 2.257
Mg 0.000 1.321 4.372
Ni 1.368 0.777 2.138
```

VASP calculation (meta-GGA SCAN) on MgNiIr2 at its PBEsol-relaxed geometry.

extended XYZ file:
```
4
Lattice="2.684 0.000 0.000 -1.288 2.355 0.000 0.000 0.000 8.806" Properties=species:S:1:pos:R:3 pbc="T T T"
Ir 0.000 0.000 0.099
Ir 0.698 1.177 6.596
Mg 0.000 0.000 4.323
Ni 0.698 1.177 2.191
```

VASP calculation (meta-GGA SCAN) on MgIr2O at its PBEsol-relaxed geometry.

extended XYZ file:
```
8
Lattice="-1.363 -4.286 -1.147 3.120 -1.779 2.940 -5.254 3.160 3.824" Properties=species:S:1:pos:R:3 pbc="T T T"
Mg -0.627 -0.826 3.830
Mg 0.000 0.000 0.000
Ir 0.454 -3.795 2.718
Ir -0.884 -2.206 1.435
Ir -2.686 1.022 4.067
Ir -3.876 -0.831 3.014
O -2.869 -2.079 1.787
O 0.879 -3.032 0.896
```

VASP calculation (meta-GGA SCAN) on Sm2MgIrO6 at its PBEsol-relaxed geometry.

extended XYZ file:
```
20
Lattice="-4.264 -0.117 -3.214 -3.294 -1.517 4.426 -1.419 7.408 1.483" Properties=species:S:1:pos:R:3 pbc="T T T"
Sm -5.455 0.392 2.947
Sm -1.860 1.193 2.198
Sm -7.118 4.580 0.498
Sm -3.522 5.381 -0.251
Mg -4.489 2.887 1.348
Mg 0.000 0.000 0.000
Ir -0.709 3.704 0.742
Ir -3.779 -0.817 0.606
O -2.591 2.973 0.554
O -3.738 2.217 3.162
O -4.278 1.713 -2.346
O -4.698 0.953 0.781
O -2.073 0.061 -0.038
O -3.201 -0.687 2.545
O -5.776 6.460 0.151
O -6.904 5.712 2.734
O -4.279 4.820 1.915
O -4.699 4.060 5.042
O -5.240 3.556 -0.466
O -6.386 2.800 2.142
```

VASP calculation (meta-GGA SCAN) on Sr3MgIrO6 at its PBEsol-relaxed geometry.

extended XYZ file:
```
22
Lattice="6.656 0.009 0.010 -0.255 6.651 0.010 -0.255 -0.266 6.646" Properties=species:S:1:pos:R:3 pbc="T T T"
Sr 1.281 5.727 4.096
Sr 3.801 1.433 5.892
Sr 0.473 2.365 4.989
Sr 4.864 0.667 2.569
Sr 2.344 4.961 0.773
Sr 5.672 4.030 1.676
Mg 1.536 1.599 1.666
Mg 4.609 4.796 4.999
Ir 0.000 0.000 0.000
Ir 3.073 3.197 3.333
O 4.971 2.925 3.968
O 3.643 5.120 3.087
O 2.726 3.755 5.244
O -0.163 4.499 6.019
O 5.830 0.068 4.744
O 4.502 6.014 0.265
O 1.174 3.469 2.697
O 2.502 1.274 3.578
O 3.420 2.640 1.421
O 6.309 1.896 0.646
O 1.643 0.381 6.400
O 0.315 6.326 1.921
```

VASP calculation (meta-GGA SCAN) on MgIr2Os at its PBEsol-relaxed geometry.

extended XYZ file:
```
4
Lattice="2.724 0.000 0.000 0.000 4.705 -0.003 0.000 -1.491 4.462" Properties=species:S:1:pos:R:3 pbc="T T T"
Ir 0.000 -0.746 2.231
Ir 0.000 2.352 -0.001
Mg 1.362 1.607 2.230
Os 1.362 0.000 0.000
```

Number 1: mass density 13.45 g cm⁻³, DFT total energy -41.632 eV/atom. Number 2: mass density 14.02 g cm⁻³, DFT total energy -41.773 eV/atom. Number 3: mass density 11.00 g cm⁻³, DFT total energy -36.441 eV/atom. Number 4: mass density 10.80 g cm⁻³, DFT total energy -36.399 eV/atom. Number 5: mass density 9.79 g cm⁻³, DFT total energy -36.624 eV/atom. Number 6: mass density 11.20 g cm⁻³, DFT total energy -36.409 eV/atom. Number 7: mass density 12.30 g cm⁻³, DFT total energy -46.752 eV/atom. Number 8: mass density 11.52 g cm⁻³, DFT total energy -43.230 eV/atom. Number 9: mass density 10.89 g cm⁻³, DFT total energy -27.147 eV/atom. Number 10: mass density 11.12 g cm⁻³, DFT total energy -27.260 eV/atom. Number 11: mass density 14.49 g cm⁻³, DFT total energy -40.967 eV/atom. Number 12: mass density 14.36 g cm⁻³, DFT total energy -40.943 eV/atom. Number 13: mass density 9.50 g cm⁻³, DFT total energy -23.398 eV/atom. Number 14: mass density 13.08 g cm⁻³, DFT total energy -44.894 eV/atom. Number 15: mass density 14.25 g cm⁻³, DFT total energy -41.035 eV/atom. Number 16: mass density 13.94 g cm⁻³, DFT total energy -40.648 eV/atom. Number 17: mass density 10.17 g cm⁻³, DFT total energy -38.225 eV/atom. Number 18: mass density 8.67 g cm⁻³, DFT total energy -23.031 eV/atom. Number 19: mass density 6.49 g cm⁻³, DFT total energy -18.905 eV/atom. Number 20: mass density 17.39 g cm⁻³, DFT total energy -54.922 eV/atom.